# Tb2Dy3Tm8

A geometry-optimized Tb2Dy3Tm8 structure (PBE, Alexandria via LeMat-Bulk).

a b c (Å): 5.5040 7.5072 10.7779
angles (deg): 110.38 90.02 90.00
Atoms (fractional coordinates):
Tb (0.4995, 0.2411, 0.4823)
Tb (0.5005, 0.7589, 0.5177)
Dy (0.5000, 0.0000, 0.0000)
Dy (0.0000, 0.2855, 0.0000)
Dy (0.0000, 0.7145, 0.0000)
Tm (0.0005, 0.6655, 0.3310)
Tm (0.9995, 0.3345, 0.6690)
Tm (0.9999, 0.1322, 0.2644)
Tm (0.0001, 0.8678, 0.7356)
Tm (0.4998, 0.6040, 0.7820)
Tm (0.4998, 0.1780, 0.7820)
Tm (0.5002, 0.8220, 0.2180)
Tm (0.5002, 0.3960, 0.2180)

Calculated volume: 32.11 Å³ per atom
E_form: 0.25 eV/atom
D(E_F): 1.783 states/eV/atom
VASP energy: -55.56 eV for the cell shown
Energy above the lowest structure with this stoichiometry: 19 meV/atom

***

# Tb7Dy12Tm

A geometry-optimized Tb7Dy12Tm structure (PBE, Alexandria via LeMat-Bulk).

a b c (Å): 8.6492 8.6492 8.6492
angles (deg): 94.91 94.91 94.91
Atoms (fractional coordinates):
Tb (0.9147, 0.6468, 0.9778)
Tb (0.3532, 0.0222, 0.0853)
Tb (0.0222, 0.0853, 0.3532)
Tb (0.5000, 0.5000, 0.5000)
Tb (0.9778, 0.9147, 0.6468)
Tb (0.6468, 0.9778, 0.9147)
Tb (0.0853, 0.3532, 0.0222)
Dy (0.8157, 0.2497, 0.6872)
Dy (0.7503, 0.3128, 0.1843)
Dy (0.4811, 0.1482, 0.4170)
Dy (0.8518, 0.5830, 0.5189)
Dy (0.3128, 0.1843, 0.7503)
Dy (0.5830, 0.5189, 0.8518)
Dy (0.4170, 0.4811, 0.1482)
Dy (0.6872, 0.8157, 0.2497)
Dy (0.1482, 0.4170, 0.4811)
Dy (0.5189, 0.8518, 0.5830)
Dy (0.2497, 0.6872, 0.8157)
Dy (0.1843, 0.7503, 0.3128)
Tm (0.0000, 0.0000, 0.0000)

Calculated volume: 31.97 Å³ per atom
E_form: 0.29 eV/atom
D(E_F): 0.894 states/eV/atom
VASP energy: -86.30 eV for the cell shown
Energy above the lowest structure with this stoichiometry: 0 meV/atom

***

# Tb2DyTm2

A geometry-optimized Tb2DyTm2 structure (PBE, Alexandria via LeMat-Bulk).

a b c (Å): 9.1910 9.1910 3.7011
angles (deg): 90.00 90.00 90.00
Atoms (fractional coordinates):
Tb (0.1282, 0.6282, 0.0000)
Tb (0.6282, 0.8718, 0.0000)
Tb (0.8718, 0.3718, 0.0000)
Tb (0.3718, 0.1282, 0.0000)
Dy (0.0000, 0.0000, 0.0000)
Dy (0.5000, 0.5000, 0.0000)
Tm (0.3300, 0.8300, 0.5000)
Tm (0.8300, 0.6700, 0.5000)
Tm (0.6700, 0.1700, 0.5000)
Tm (0.1700, 0.3300, 0.5000)

Calculated volume: 31.26 Å³ per atom
E_form: 0.09 eV/atom
D(E_F): 0.747 states/eV/atom
VASP energy: -44.72 eV for the cell shown
Energy above the lowest structure with this stoichiometry: 68 meV/atom

***

# Tb7DyTm12

A geometry-optimized Tb7DyTm12 structure (PBE, Alexandria via LeMat-Bulk).

a b c (Å): 8.5778 8.5778 8.5778
angles (deg): 95.14 95.14 95.14
Atoms (fractional coordinates):
Tb (0.9141, 0.6454, 0.9775)
Tb (0.3546, 0.0225, 0.0859)
Tb (0.0225, 0.0859, 0.3546)
Tb (0.5000, 0.5000, 0.5000)
Tb (0.9775, 0.9141, 0.6454)
Tb (0.6454, 0.9775, 0.9141)
Tb (0.0859, 0.3546, 0.0225)
Dy (0.0000, 0.0000, 0.0000)
Tm (0.8154, 0.2512, 0.6867)
Tm (0.7488, 0.3133, 0.1846)
Tm (0.4842, 0.1491, 0.4189)
Tm (0.8509, 0.5811, 0.5158)
Tm (0.3133, 0.1846, 0.7488)
Tm (0.5811, 0.5158, 0.8509)
Tm (0.4189, 0.4842, 0.1491)
Tm (0.6867, 0.8154, 0.2512)
Tm (0.1491, 0.4189, 0.4842)
Tm (0.5158, 0.8509, 0.5811)
Tm (0.2512, 0.6867, 0.8154)
Tm (0.1846, 0.7488, 0.3133)

Calculated volume: 31.15 Å³ per atom
E_form: 0.31 eV/atom
D(E_F): 0.863 states/eV/atom
VASP energy: -84.52 eV for the cell shown
Energy above the lowest structure with this stoichiometry: 0 meV/atom

***

# Tb12Dy3Tm

A geometry-optimized Tb12Dy3Tm structure (PBE, Alexandria via LeMat-Bulk).

a b c (Å): 5.0157 5.0157 20.0426
angles (deg): 90.00 90.00 90.00
Atoms (fractional coordinates):
Tb (0.5000, 0.5000, 0.0000)
Tb (0.5000, 0.5000, 0.2494)
Tb (0.5000, 0.5000, 0.5000)
Tb (0.5000, 0.5000, 0.7506)
Tb (0.5000, 0.0000, 0.1243)
Tb (0.5000, 0.0000, 0.3747)
Tb (0.5000, 0.0000, 0.6253)
Tb (0.5000, 0.0000, 0.8757)
Tb (0.0000, 0.5000, 0.1243)
Tb (0.0000, 0.5000, 0.3747)
Tb (0.0000, 0.5000, 0.6253)
Tb (0.0000, 0.5000, 0.8757)
Dy (0.0000, 0.0000, 0.2495)
Dy (0.0000, 0.0000, 0.5000)
Dy (0.0000, 0.0000, 0.7505)
Tm (0.0000, 0.0000, 0.0000)

Calculated volume: 31.51 Å³ per atom
E_form: 0.02 eV/atom
D(E_F): 1.319 states/eV/atom
VASP energy: -73.56 eV for the cell shown

***

# Tb12Dy6Tm

A geometry-optimized Tb12Dy6Tm structure (PBE, Alexandria via LeMat-Bulk).

a b c (Å): 9.3597 9.3597 9.3596
angles (deg): 108.59 108.59 108.59
Atoms (fractional coordinates):
Tb (0.8906, 0.1094, 0.5000)
Tb (0.3622, 0.1508, 0.3622)
Tb (0.3622, 0.3622, 0.1508)
Tb (0.8492, 0.6378, 0.6378)
Tb (0.6378, 0.6378, 0.8492)
Tb (0.6378, 0.8492, 0.6378)
Tb (0.5000, 0.8906, 0.1094)
Tb (0.1094, 0.5000, 0.8906)
Tb (0.1094, 0.8906, 0.5000)
Tb (0.5000, 0.1094, 0.8906)
Tb (0.8906, 0.5000, 0.1094)
Tb (0.1508, 0.3622, 0.3622)
Dy (0.6766, 0.2515, 0.6766)
Dy (0.6766, 0.6766, 0.2515)
Dy (0.2515, 0.6766, 0.6766)
Dy (0.3234, 0.3234, 0.7485)
Dy (0.3234, 0.7485, 0.3234)
Dy (0.7485, 0.3234, 0.3234)
Tm (0.0000, 0.0000, 0.0000)

Calculated volume: 34.26 Å³ per atom
E_form: 0.45 eV/atom
D(E_F): 1.282 states/eV/atom
VASP energy: -79.11 eV for the cell shown
Energy above the lowest structure with this stoichiometry: 297 meV/atom

***

Number 1: spin magnetization 0.000 μB/cell. Number 2: spin magnetization 0.000 μB/cell. Number 3: spin magnetization 0.000 μB/cell. Number 4: spin magnetization 0.000 μB/cell. Number 5: spin magnetization 0.000 μB/cell. Number 6: spin magnetization 0.000 μB/cell.